Pu3SiSe6 PBE-GGA relaxed; final energy = -8.053 eV per atom; symmetry = Cmc2_1; D(E_F) = 71.3 states/eV/cell
1.0
6.842 0.000 0.000
0.000 9.082 -0.004
0.000 -2.031 8.852
Se Pu Si
12 6 2
Direct
0.685 0.902 0.424 Se
0.156 0.043 0.957 Se
0.185 0.098 0.576 Se
0.691 0.637 0.685 Se
0.185 0.424 0.902 Se
0.656 0.957 0.043 Se
0.191 0.685 0.637 Se
0.193 0.788 0.212 Se
0.691 0.315 0.363 Se
0.191 0.363 0.315 Se
0.693 0.212 0.788 Se
0.685 0.576 0.098 Se
0.475 0.278 0.085 Pu
0.975 0.085 0.278 Pu
0.404 0.398 0.602 Pu
0.904 0.602 0.398 Pu
0.975 0.722 0.915 Pu
0.475 0.915 0.722 Pu
0.031 0.197 0.803 Si
0.531 0.803 0.197 Si